No. 1
Below is a relaxed structure of LiCu4P3O12, with properties calculated at the GGA-PBEsol level.

Unit cell a=7.2270 b=7.5873 c=9.5362 alpha=110.63 beta=111.00 gamma=91.92
Last column: nearest neighbours and their distance in Å.
Sites, in units of the cell vectors:
Li 0.1046 0.3554 0.0552  3 O 1.93-2.06
Li 0.8954 0.6446 0.9448  3 O 1.93-2.06
Cu 0.2202 0.5714 0.5520  4 O 1.91-2.02
Cu 0.2303 0.9734 0.5823  4 O 1.90-2.00
Cu 0.2451 0.9562 0.2252  4 O 1.88-2.03
Cu 0.4991 0.7142 0.0475  4 O 1.93-2.09
Cu 0.5009 0.2858 0.9525  4 O 1.93-2.09
Cu 0.7549 0.0438 0.7748  4 O 1.88-2.03
Cu 0.7697 0.0266 0.4177  4 O 1.90-2.00
Cu 0.7798 0.4286 0.4480  4 O 1.91-2.02
P 0.1015 0.3668 0.7529  4 O 1.52-1.57
P 0.1853 0.9508 0.8871  4 O 1.54-1.58
P 0.4940 0.2643 0.5817  4 O 1.51-1.57
P 0.5060 0.7357 0.4183  4 O 1.51-1.57
P 0.8147 0.0492 0.1129  4 O 1.54-1.58
P 0.8985 0.6332 0.2471  4 O 1.52-1.57
O 0.0361 0.5986 0.1555  1 P 1.52
O 0.0440 0.0975 0.1648  1 P 1.54
O 0.0484 0.4739 0.6328  1 P 1.57
O 0.0693 0.1507 0.6492  1 P 1.55
O 0.2538 0.8664 0.7446  1 P 1.55
O 0.2724 0.8460 0.0076  1 P 1.58
O 0.2728 0.1676 0.9805  1 P 1.55
O 0.3039 0.1047 0.4563  1 P 1.57
O 0.3265 0.4470 0.8743  1 P 1.56
O 0.3473 0.7528 0.4960  1 P 1.56
O 0.4323 0.7901 0.2665  1 P 1.56
O 0.4549 0.4673 0.6300  1 P 1.51
O 0.5451 0.5327 0.3700  1 P 1.51
O 0.5677 0.2099 0.7335  1 P 1.56
O 0.6527 0.2472 0.5040  1 P 1.56
O 0.6735 0.5530 0.1257  1 P 1.56
O 0.6961 0.8953 0.5437  1 P 1.57
O 0.7272 0.8324 0.0195  1 P 1.55
O 0.7276 0.1540 0.9924  1 P 1.58
O 0.7462 0.1336 0.2554  1 P 1.55
O 0.9307 0.8493 0.3508  1 P 1.55
O 0.9516 0.5261 0.3672  1 P 1.57
O 0.9560 0.9025 0.8352  1 P 1.54
O 0.9639 0.4014 0.8445  1 P 1.52

Output
- formation energy from raw total energies (eV per atom) = -1.54
- ΔE to the lowest computed polymorph (eV/atom) = 0.011
- symmetry = P-1 (2)
- E_tot (eV per formula unit) = -130.47

No. 2
Below is a relaxed structure of Pb2SI, with properties calculated at the GGA-PBEsol level.

Unit cell a=5.3382 b=5.3382 c=5.3382 alpha=60.00 beta=60.00 gamma=60.00
Last column: nearest neighbours and their distance in Å.
Sites, in units of the cell vectors:
Pb 0.2500 0.2500 0.2500  4 S 3.27, 4 I 3.27
Pb 0.7500 0.7500 0.7500  4 S 3.27, 4 I 3.27
S 0.0000 0.0000 0.0000  8 Pb 3.27
I 0.5000 0.5000 0.5000  8 Pb 3.27

Output
- formation energy from raw total energies (eV per atom) = -0.19
- symmetry = Fm-3m (225)
- E_tot (eV per formula unit) = -14.91

No. 3
Below is a relaxed structure of Zn4CdAg, with properties calculated at the GGA-PBEsol level.

Unit cell a=5.0633 b=5.0633 c=5.0633 alpha=60.00 beta=60.00 gamma=60.00
Last column: nearest neighbours and their distance in Å.
Sites, in units of the cell vectors:
Zn 0.1247 0.1247 0.1247  6 Zn 2.53-2.54
Zn 0.1247 0.1247 0.6259  6 Zn 2.53-2.54
Zn 0.1247 0.6259 0.1247  6 Zn 2.53-2.54
Zn 0.6259 0.1247 0.1247  6 Zn 2.53-2.54
Cd 0.5000 0.5000 0.5000  12 Zn 2.97, 4 Ag 3.10
Ag 0.7500 0.7500 0.7500  12 Zn 2.97, 4 Cd 3.10

Output
- symmetry = F-43m (216)
- E_form (kJ/mol of atoms) = -1.2
- E_tot (eV per formula unit) = -10.91

no.,calculated volume (Å³/f.u.)
1,224.6
2,107.6
3,91.8